No. 1
A relaxed structure of SrYHgRh. Source: the Alexandria database, functional GGA-PBE.

Cell: 5.2014 5.2014 5.2014 Å, 60.00 60.00 60.00°
Atoms (fractional coordinates):
Rh1 0.0000 0.0000 0.0000
Y1 0.7500 0.7500 0.7500
Hg1 0.5000 0.5000 0.5000
Sr1 0.2500 0.2500 0.2500

Magnetic moment (μB/f.u.): 0.00
Formation energy (eV per atom): -0.39
Symmetry: F-43m, No. 216

No. 2
A relaxed structure of Ta2HgRh. Source: the Alexandria database, functional GGA-PBE.

Cell: 5.1453 5.1453 4.9652 Å, 78.90 78.90 33.25°
Atoms (fractional coordinates):
Ta1 0.2571 0.2571 0.7377
Ta2 0.7429 0.7429 0.2623
Rh1 0.0000 0.0000 0.5000
Hg1 0.5000 0.5000 0.0000

Magnetic moment (μB/f.u.): 0.00
Formation energy (eV per atom): 0.12
Symmetry: C2/m, No. 12

No. 3
A relaxed structure of Ta2HgRh. Source: the Alexandria database, functional GGA-PBE.

Cell: 4.9920 4.9920 5.1130 Å, 78.02 78.02 34.76°
Atoms (fractional coordinates):
Ta1 0.9966 0.9966 0.0136
Ta2 0.7405 0.7405 0.7556
Hg1 0.5026 0.5026 0.4998
Rh1 0.2603 0.2603 0.2309

Magnetic moment (μB/f.u.): 0.00
Formation energy (eV per atom): 0.05
Symmetry: Cm, No. 8

No. 4
A relaxed structure of Ta2HgRh2. Source: the Alexandria database, functional GGA-PBE.

Cell: 7.8401 7.8401 2.9063 Å, 90.00 90.00 90.00°
Atoms (fractional coordinates):
Hg1 0.5000 0.5000 0.0000
Hg2 0.0000 0.0000 0.0000
Ta1 0.6535 0.1535 0.0000
Ta2 0.1535 0.3465 0.0000
Ta3 0.3465 0.8465 0.0000
Ta4 0.8465 0.6535 0.0000
Rh1 0.1359 0.6359 0.5000
Rh2 0.6359 0.8641 0.5000
Rh3 0.3641 0.1359 0.5000
Rh4 0.8641 0.3641 0.5000

Magnetic moment (μB/f.u.): 0.00
Offset from the most stable computed form (eV per atom): 0.1324
Formation energy (eV per atom): -0.11
Symmetry: P4/mbm, No. 127

No. 5
A relaxed structure of Ta2HgRh. Source: the Alexandria database, functional GGA-PBE.

Cell: 3.1182 3.5813 6.3755 Å, 90.00 90.00 90.00°
Atoms (fractional coordinates):
Ta1 0.0000 0.0000 0.9802
Ta2 0.5000 0.5000 0.2404
Rh1 0.5000 0.5000 0.7722
Hg1 0.0000 0.0000 0.5073

Magnetic moment (μB/f.u.): 0.00
Formation energy (eV per atom): -0.04
Symmetry: Pmm2, No. 25

No. 6
A relaxed structure of TaHgRh. Source: the Alexandria database, functional GGA-PBE.

Cell: 5.0223 5.0223 5.0223 Å, 145.75 133.04 59.40°
Atoms (fractional coordinates):
Ta1 0.3255 0.3255 0.0000
Hg1 0.0010 0.0010 0.0000
Rh1 0.6735 0.6735 0.0000

Magnetic moment (μB/f.u.): 0.00
Offset from the most stable computed form (eV per atom): 0.0067
Formation energy (eV per atom): -0.04
Symmetry: Imm2, No. 44

No. 7
A relaxed structure of Ta2HgRh. Source: the Alexandria database, functional GGA-PBE.

Cell: 5.1983 5.1983 5.1983 Å, 134.45 134.45 66.38°
Atoms (fractional coordinates):
Rh1 0.7500 0.2500 0.5000
Hg1 0.5000 0.5000 0.0000
Ta1 0.0000 0.0000 0.0000
Ta2 0.2500 0.7500 0.5000

Magnetic moment (μB/f.u.): 0.00
Formation energy (eV per atom): 0.17
Symmetry: I-4m2, No. 119

No. 8
A relaxed structure of TaHgRh. Source: the Alexandria database, functional GGA-PBE.

Cell: 4.4103 4.4103 4.4103 Å, 60.00 60.00 60.00°
Atoms (fractional coordinates):
Ta1 0.0000 0.0000 0.0000
Hg1 0.5000 0.5000 0.5000
Rh1 0.7500 0.7500 0.7500

Magnetic moment (μB/f.u.): 0.86
Offset from the most stable computed form (eV per atom): 0.3285
Formation energy (eV per atom): 0.29
Symmetry: F-43m, No. 216